YMg2Fe: single point on PBEsol structure, meta-GGA SCAN.

a b c (Å): 3.194 5.194 6.027
angles (deg): 115.54 90.00 107.91
Each line ends with the local moment (μB).
Positions (direct):
Fe (0.282, 0.563, 0.630)  2.56
Mg (0.728, 0.457, 0.247)  -0.01
Mg (0.938, 0.877, 0.017)  -0.01
Y (0.551, 0.103, 0.607)  -0.42

Summary:
**Magnetization**: 0.474 μB per atom
**Formation enthalpy at 0 K**: 0.2234 eV/atom

***

KCaH3: single point on PBEsol structure, meta-GGA SCAN.

a b c (Å): 6.173 6.200 8.738
angles (deg): 90.00 90.00 90.00
Positions (direct):
H (0.720, 0.721, 0.967)
H (0.280, 0.279, 0.033)
H (0.484, 0.937, 0.250)
H (0.516, 0.063, 0.750)
H (0.016, 0.437, 0.750)
H (0.780, 0.221, 0.033)
H (0.780, 0.221, 0.467)
H (0.220, 0.779, 0.967)
H (0.280, 0.279, 0.467)
H (0.220, 0.779, 0.533)
H (0.984, 0.563, 0.250)
H (0.720, 0.721, 0.533)
K (0.982, 0.997, 0.750)
K (0.482, 0.503, 0.750)
K (0.518, 0.497, 0.250)
K (0.018, 0.003, 0.250)
Ca (0.000, 0.500, 0.000)
Ca (0.000, 0.500, 0.500)
Ca (0.500, 0.000, 0.500)
Ca (0.500, 0.000, 0.000)

Summary:
**Final energy**: -6.16 eV/atom
**Magnetization**: 0.000 μB per atom

***

CuTcRh2: single point on PBEsol structure, meta-GGA SCAN.

a b c (Å): 2.688 3.679 5.300
angles (deg): 90.00 90.00 90.00
Positions (direct):
Rh (0.000, 0.000, 0.251)
Rh (0.000, 0.000, 0.749)
Tc (0.500, 0.500, 0.000)
Cu (0.500, 0.500, 0.500)

Summary:
**Magnetization**: 0.000 μB per atom
**Formation enthalpy at 0 K**: -0.0520 eV/atom

***

AlAuSe: single point on PBEsol structure, meta-GGA SCAN.

a b c (Å): 2.828 3.394 6.177
angles (deg): 105.95 103.23 90.00
Positions (direct):
Se (0.639, 0.639, 0.279)
Au (0.363, 0.363, 0.726)
Al (0.998, 0.998, 0.996)

Summary:
**Magnetization**: 0.000 μB per atom
**ΔE_f (raw)**: -0.39 eV per formula unit

***

CdTeF2: single point on PBEsol structure, meta-GGA SCAN.

a b c (Å): 3.064 3.064 8.716
angles (deg): 79.88 79.88 60.00
Positions (direct):
Te (0.500, 0.500, 0.500)
F (0.907, 0.907, 0.280)
F (0.093, 0.093, 0.720)
Cd (0.000, 0.000, 0.000)

Summary:
**Magnetization**: 0.000 μB per atom
**ΔE_f (raw)**: -3.78 eV per formula unit

***

Tl2PbBr: single point on PBEsol structure, meta-GGA SCAN.

a b c (Å): 4.579 4.579 6.438
angles (deg): 110.83 110.83 90.00
Positions (direct):
Tl (0.250, 0.750, 0.500)
Tl (0.750, 0.250, 0.500)
Br (0.500, 0.500, 0.000)
Pb (0.000, 0.000, 0.000)

Summary:
**Magnetization**: 0.000 μB per atom
**ΔE_f (raw)**: -0.68 eV per formula unit

***

Al2BiSBr: single point on PBEsol structure, meta-GGA SCAN.

a b c (Å): 5.073 5.710 5.710
angles (deg): 90.00 90.00 90.00
Positions (direct):
S (0.500, 0.000, 0.000)
Bi (0.000, 0.000, 0.000)
Al (0.000, 0.000, 0.500)
Al (0.000, 0.500, 0.000)
Br (0.500, 0.500, 0.500)

Summary:
**Magnetization**: 0.000 μB per atom
**ΔE_f (raw)**: 2.62 eV per formula unit

***

LiCrSbI2: single point on PBEsol structure, meta-GGA SCAN.

a b c (Å): 5.051 5.257 5.257
angles (deg): 90.00 90.00 90.00
Each line ends with the local moment (μB).
Positions (direct):
I (0.000, 0.500, 0.000)  0.01
I (0.000, 0.000, 0.500)  0.01
Sb (0.500, 0.000, 0.000)  -0.04
Cr (0.500, 0.500, 0.500)  4.33
Li (0.000, 0.000, 0.000)  0.01

Summary:
**Magnetization**: 0.966 μB per atom
**ΔE_f (raw)**: 1.64 eV per formula unit

***

Q: Look up the magnetization of the seventh one.
A: 0.000 μB per atom